This record from the Alexandria database describes crystalline ErVO4F at its relaxed geometry. The functional is PBE+U.

Lattice parameters (Å, degrees): 9.3441 7.1187 6.5247 90.00 100.72 90.00
Last column: nearest neighbours and their distance in Å.
Space group C2/m (No. 12)
Unique sites:
Er  0.1946  0.0000  0.0809 x4  2 F 2.20, 6 O 2.30-2.43
V  0.1281  0.5000  0.2881 x4  4 O 1.73-1.75
O  0.0622  0.5000  0.7583 x4  1 V 1.75
O  0.1910  0.3147  0.1577 x8  1 V 1.73
O  0.1964  0.5000  0.5564 x4  1 V 1.75
F  0.0142  0.0000  0.8103 x4  2 Er 2.20

Calculated values
- DFT total energy (eV/atom) = -7.3057
- volume (Å³ per cell) = 426.4